This record from the Alexandria database describes a relaxed AcTb2Pm2Tm2 crystal. The functional is PBE.

Structure (CIF):
```
data_AcTb2Pm2Tm2
_chemical_formula_sum 'Ac2 Tb4 Pm4 Tm4'
_symmetry_space_group_name_H-M 'C 1 2/m 1'
_symmetry_Int_Tables_number 12
_symmetry_space_group_name_Hall '-C 2y'
_cell_length_a 11.4965
_cell_length_b 5.1357
_cell_length_c 8.1001
_cell_angle_alpha 90.00
_cell_angle_beta 98.41
_cell_angle_gamma 90.00
loop_
_atom_site_label
_atom_site_type_symbol
_atom_site_fract_x
_atom_site_fract_y
_atom_site_fract_z
Ac1 Ac 0.0000 0.0000 0.0000
Tb1 Tb 0.0743 0.5000 0.7062
Pm1 Pm 0.2150 0.5000 0.1518
Tm1 Tm 0.1424 0.0000 0.4341
```

Values from the calculation:
As for the density of states at the Fermi level: 20.88 states/eV per cell. The energy of formation from the pure elements is 44 meV/atom. The calculation puts the total magnetic moment at 0.00 μB per formula unit.



This record from the Alexandria database describes a relaxed La2PrNd3P6 crystal. The functional is PBE.

Structure (CIF):
```
data_La2PrNd3P6
_chemical_formula_sum 'La4 Pr2 Nd6 P12'
_symmetry_space_group_name_H-M 'C 1 2/m 1'
_symmetry_Int_Tables_number 12
_symmetry_space_group_name_Hall '-C 2y'
_cell_length_a 7.2916
_cell_length_b 12.6285
_cell_length_c 7.2927
_cell_angle_alpha 90.00
_cell_angle_beta 109.45
_cell_angle_gamma 90.00
loop_
_atom_site_label
_atom_site_type_symbol
_atom_site_fract_x
_atom_site_fract_y
_atom_site_fract_z
La1 La 0.0000 0.1666 0.0000
Pr1 Pr 0.0000 0.5000 0.0000
Nd1 Nd 0.0000 0.0000 0.5000
Nd2 Nd 0.0000 0.3333 0.5000
P1 P 0.2475 0.5000 0.7463
P2 P 0.2494 0.1661 0.7466
```

Values from the calculation:
As for the density of states at the Fermi level: 2.17 states/eV per cell. The energy of formation from the pure elements is -1547 meV/atom. The calculation puts the total magnetic moment at 0.00 μB per formula unit.



This record from the Alexandria database describes a relaxed MgCd4Sb crystal. The functional is PBE.

Structure (CIF):
```
data_MgCd4Sb
_chemical_formula_sum 'Mg4 Cd16 Sb4'
_symmetry_space_group_name_H-M 'F -4 3 m'
_symmetry_Int_Tables_number 216
_symmetry_space_group_name_Hall 'F -4 2 3'
_cell_length_a 8.3350
_cell_length_b 8.3350
_cell_length_c 8.3350
_cell_angle_alpha 90.00
_cell_angle_beta 90.00
_cell_angle_gamma 90.00
loop_
_atom_site_label
_atom_site_type_symbol
_atom_site_fract_x
_atom_site_fract_y
_atom_site_fract_z
Mg1 Mg 0.0000 0.0000 0.0000
Cd1 Cd 0.1250 0.1250 0.3750
Sb1 Sb 0.2500 0.2500 0.7500
```

Values from the calculation:
As for the density of states at the Fermi level: 11.34 states/eV per cell. The calculation puts the formation energy from raw total energies at 0.1034 eV/atom. The calculation puts the total magnetic moment at 0.00 μB per formula unit.



This record from the Alexandria database describes a relaxed TbCu4Pd8 crystal. The functional is PBE.

Structure (CIF):
```
data_TbCu4Pd8
_chemical_formula_sum 'Tb2 Cu8 Pd16'
_symmetry_space_group_name_H-M 'I 4/m m m'
_symmetry_Int_Tables_number 139
_symmetry_space_group_name_Hall '-I 4 2'
_cell_length_a 8.9452
_cell_length_b 8.9452
_cell_length_c 5.0051
_cell_angle_alpha 90.00
_cell_angle_beta 90.00
_cell_angle_gamma 90.00
loop_
_atom_site_label
_atom_site_type_symbol
_atom_site_fract_x
_atom_site_fract_y
_atom_site_fract_z
Tb1 Tb 0.0000 0.0000 0.0000
Cu1 Cu 0.2500 0.2500 0.2500
Pd1 Pd 0.0000 0.2169 0.5000
Pd2 Pd 0.0000 0.3471 0.0000
```

Values from the calculation:
As for the density of states at the Fermi level: 23.62 states/eV per cell. The energy of formation from the pure elements is -322 meV/atom. The calculation puts the total magnetic moment at 0.00 μB per formula unit.



What is the total magnetic moment in the first record?
0.00 μB per formula unit



Which value of total magnetic moment does entry 2 give?
0.00 μB per formula unit



Repeat the first record exactly.
This record from the Alexandria database describes a relaxed AcTb2Pm2Tm2 crystal. The functional is PBE.

Structure (CIF):
```
data_AcTb2Pm2Tm2
_chemical_formula_sum 'Ac2 Tb4 Pm4 Tm4'
_symmetry_space_group_name_H-M 'C 1 2/m 1'
_symmetry_Int_Tables_number 12
_symmetry_space_group_name_Hall '-C 2y'
_cell_length_a 11.4965
_cell_length_b 5.1357
_cell_length_c 8.1001
_cell_angle_alpha 90.00
_cell_angle_beta 98.41
_cell_angle_gamma 90.00
loop_
_atom_site_label
_atom_site_type_symbol
_atom_site_fract_x
_atom_site_fract_y
_atom_site_fract_z
Ac1 Ac 0.0000 0.0000 0.0000
Tb1 Tb 0.0743 0.5000 0.7062
Pm1 Pm 0.2150 0.5000 0.1518
Tm1 Tm 0.1424 0.0000 0.4341
```

Values from the calculation:
As for the density of states at the Fermi level: 20.88 states/eV per cell. The energy of formation from the pure elements is 44 meV/atom. The calculation puts the total magnetic moment at 0.00 μB per formula unit.